Entry 1:
Here is crystalline BeNbI at its relaxed geometry from the Alexandria database. Energies are from PBE.

The structure belongs to space group P1 (No. 1); the cell edges are 3.700, 4.628 and 9.746 Å and the angles 94.35°, 94.31° and 113.55°. The distinct sites, in fractional coordinates, are Be at (0.000, 0.000, 0.000), Be at (0.426, 0.814, 0.096), Nb at (0.085, 0.073, 0.246), Nb at (0.735, 0.424, 0.116), I at (0.523, 0.112, 0.831) and I at (0.836, 0.505, 0.422).

The value obtained for the energy above the lowest structure with this stoichiometry is 0.151 eV per atom. Its total moment is 0.00 μB/f.u.

Entry 2:
Here is crystalline BeNbIO2 at its relaxed geometry from the Alexandria database. Energies are from PBE.

The structure belongs to space group P4/mmm (No. 123); the cell edges are 3.880, 3.880 and 4.675 Å and the angles 90.00°, 90.00° and 90.00°. The distinct sites, in fractional coordinates, are Be at (0.000, 0.000, 0.000), Nb at (0.500, 0.500, 0.500), I at (0.000, 0.000, 0.500) and O at (0.000, 0.500, 0.000).

The value obtained for the energy above the lowest structure with this stoichiometry is 0.816 eV per atom. Its total moment is 1.61 μB/f.u.

Entry 3:
Here is crystalline BeNbIO2 at its relaxed geometry from the Alexandria database. Energies are from PBE.

The structure belongs to space group P4/mmm (No. 123); the cell edges are 3.945, 3.945 and 6.151 Å and the angles 90.00°, 90.00° and 90.00°. The distinct sites, in fractional coordinates, are Be at (0.000, 0.000, 0.000), Nb at (0.500, 0.500, 0.500), I at (0.500, 0.500, 0.000) and O at (0.000, 0.500, 0.500).

The value obtained for the energy above the lowest structure with this stoichiometry is 0.000 eV per atom. Its total moment is 0.00 μB/f.u.

Entry 4:
Here is crystalline Rb2BeNbI6 at its relaxed geometry from the Alexandria database. Energies are from PBE.

The structure belongs to space group I4/mmm (No. 139); the cell edges are 8.734, 8.734 and 10.631 Å and the angles 90.00°, 90.00° and 90.00°. The distinct sites, in fractional coordinates, are Rb at (0.000, 0.500, 0.250), Be at (0.000, 0.000, 0.000), Nb at (0.000, 0.000, 0.500), I at (0.000, 0.000, 0.217) and I at (0.234, 0.234, 0.500).

Its total moment is 3.00 μB/f.u.

Entry 5:
Here is crystalline BeNb2RhI at its relaxed geometry from the Alexandria database. Energies are from PBE.

The structure belongs to space group P4/mmm (No. 123); the cell edges are 5.019, 5.019 and 4.292 Å and the angles 90.00°, 90.00° and 90.00°. The distinct sites, in fractional coordinates, are Be at (0.000, 0.000, 0.000), Nb at (0.000, 0.500, 0.500), Rh at (0.500, 0.500, 0.000) and I at (0.000, 0.000, 0.500).

Its total moment is 1.30 μB/f.u.

Entry 6:
Here is crystalline BeNbSb2I at its relaxed geometry from the Alexandria database. Energies are from PBE.

The structure belongs to space group P4/mmm (No. 123); the cell edges are 4.798, 4.798 and 5.377 Å and the angles 90.00°, 90.00° and 90.00°. The distinct sites, in fractional coordinates, are Be at (0.000, 0.000, 0.000), Nb at (0.500, 0.500, 0.500), Sb at (0.000, 0.500, 0.000) and I at (0.000, 0.000, 0.500).

The value obtained for the energy above the lowest structure with this stoichiometry is 0.017 eV per atom. Its total moment is 2.79 μB/f.u.

Entry 7:
Here is crystalline BeNbSb2I at its relaxed geometry from the Alexandria database. Energies are from PBE.

The structure belongs to space group P4/mmm (No. 123); the cell edges are 5.348, 5.348 and 5.730 Å and the angles 90.00°, 90.00° and 90.00°. The distinct sites, in fractional coordinates, are Be at (0.000, 0.000, 0.000), Nb at (0.500, 0.500, 0.500), Sb at (0.000, 0.500, 0.500) and I at (0.500, 0.500, 0.000).

The value obtained for the energy above the lowest structure with this stoichiometry is 0.000 eV per atom. Its total moment is 0.00 μB/f.u.

Entry 8:
Here is crystalline BeNbSb2I at its relaxed geometry from the Alexandria database. Energies are from PBE.

The structure belongs to space group P4/mmm (No. 123); the cell edges are 5.826, 5.826 and 5.234 Å and the angles 90.00°, 90.00° and 90.00°. The distinct sites, in fractional coordinates, are Be at (0.000, 0.000, 0.000), Nb at (0.500, 0.500, 0.000), Sb at (0.000, 0.500, 0.500) and I at (0.500, 0.500, 0.500).

The value obtained for the energy above the lowest structure with this stoichiometry is 1.077 eV per atom. Its total moment is 2.42 μB/f.u.

Entry 9:
Here is crystalline BeNb2SnI at its relaxed geometry from the Alexandria database. Energies are from PBE.

The structure belongs to space group P4/mmm (No. 123); the cell edges are 4.789, 4.789 and 4.467 Å and the angles 90.00°, 90.00° and 90.00°. The distinct sites, in fractional coordinates, are Be at (0.000, 0.000, 0.000), Nb at (0.000, 0.500, 0.000), Sn at (0.500, 0.500, 0.500) and I at (0.000, 0.000, 0.500).

Its total moment is 0.00 μB/f.u.

Entry 10:
Here is crystalline BeNbTeI2 at its relaxed geometry from the Alexandria database. Energies are from PBE.

The structure belongs to space group P4/mmm (No. 123); the cell edges are 5.654, 5.654 and 5.392 Å and the angles 90.00°, 90.00° and 90.00°. The distinct sites, in fractional coordinates, are Be at (0.000, 0.000, 0.000), Nb at (0.500, 0.500, 0.500), Te at (0.500, 0.500, 0.000) and I at (0.000, 0.500, 0.500).

The value obtained for the energy above the lowest structure with this stoichiometry is 0.000 eV per atom. Its total moment is 0.00 μB/f.u.

Entry 11:
Here is crystalline BeNbTe2I at its relaxed geometry from the Alexandria database. Energies are from PBE.

The structure belongs to space group P4/mmm (No. 123); the cell edges are 4.963, 4.963 and 5.131 Å and the angles 90.00°, 90.00° and 90.00°. The distinct sites, in fractional coordinates, are Be at (0.000, 0.000, 0.000), Nb at (0.500, 0.500, 0.500), Te at (0.000, 0.500, 0.000) and I at (0.000, 0.000, 0.500).

The value obtained for the energy above the lowest structure with this stoichiometry is 0.060 eV per atom. Its total moment is 2.37 μB/f.u.

Entry 12:
Here is crystalline BeNbTe2I at its relaxed geometry from the Alexandria database. Energies are from PBE.

The structure belongs to space group P4/mmm (No. 123); the cell edges are 4.853, 4.853 and 5.380 Å and the angles 90.00°, 90.00° and 90.00°. The distinct sites, in fractional coordinates, are Be at (0.000, 0.000, 0.000), Nb at (0.000, 0.000, 0.500), Te at (0.000, 0.500, 0.000) and I at (0.500, 0.500, 0.500).

The value obtained for the energy above the lowest structure with this stoichiometry is 0.120 eV per atom. Its total moment is 2.29 μB/f.u.

Number 1: V 75.8 Å³/f.u., D(E_F) 1.496 states/eV/cell, uncorrected formation energy 0.028 eV/atom. Number 2: V 70.4 Å³/f.u., D(E_F) 2.417 states/eV/cell, uncorrected formation energy 0.016 eV/atom. Number 3: V 95.7 Å³/f.u., D(E_F) 2.700 states/eV/cell, uncorrected formation energy -0.799 eV/atom. Number 4: V 405.5 Å³/f.u., D(E_F) 8.787 states/eV/cell, uncorrected formation energy -0.599 eV/atom. Number 5: V 108.1 Å³/f.u., D(E_F) 8.328 states/eV/cell, uncorrected formation energy 1.874 eV/atom. Number 6: V 123.8 Å³/f.u., D(E_F) 4.681 states/eV/cell, uncorrected formation energy 0.872 eV/atom. Number 7: V 163.9 Å³/f.u., D(E_F) 3.730 states/eV/cell, uncorrected formation energy 0.856 eV/atom. Number 8: V 177.7 Å³/f.u., D(E_F) 4.163 states/eV/cell, uncorrected formation energy 1.933 eV/atom. Number 9: V 102.5 Å³/f.u., D(E_F) 5.979 states/eV/cell, uncorrected formation energy 0.972 eV/atom. Number 10: V 172.4 Å³/f.u., D(E_F) 2.152 states/eV/cell, uncorrected formation energy 0.613 eV/atom. Number 11: V 126.4 Å³/f.u., D(E_F) 1.720 states/eV/cell, uncorrected formation energy 0.695 eV/atom. Number 12: V 126.7 Å³/f.u., D(E_F) 4.128 states/eV/cell, uncorrected formation energy 0.755 eV/atom.